No. 1
Here is CrBi2N after structural relaxation from Alexandria. Energies are from PBE-GGA.

Lattice parameters (Å, degrees): 6.4992 6.4992 6.4890 59.95 59.95 90.00
Closest atoms and distances in Å follow each position.
Element x y z (fractional)
Bi 0.8750 0.8171 0.7500  2 N 2.35
Cr 0.7500 0.2500 0.5000  4 Bi 2.82
Bi 0.3750 0.4329 0.7500  2 N 2.35
Bi 0.1829 0.6250 0.2500  2 N 2.35
N 0.2500 0.7500 0.5000  4 Bi 2.35
Cr 0.0000 0.0000 0.0000  4 Bi 2.82
N 0.5000 0.5000 0.0000  4 Bi 2.35
Bi 0.5671 0.1250 0.2500  2 N 2.35

Computed properties:
The calculation puts the total energy at -44.3 eV per cell. The density of states at the Fermi level comes out at 2.98 states/eV/f.u. The calculation puts the magnetic moment at 7.80 μB per cell. Its space group is I-42d. The uncorrected formation energy comes out at 0.895 eV per atom.

=====

No. 2
Here is Co3NiAu after structural relaxation from Alexandria. Energies are from PBE-GGA.

Lattice parameters (Å, degrees): 4.2620 4.2620 4.2620 90.00 90.00 90.00
Closest atoms and distances in Å follow each position.
Element x y z (fractional)
Ni 0.0000 0.0000 0.0000  6 Co 2.13
Au 0.5000 0.5000 0.5000  12 Co 3.01
Co 0.0000 0.5000 0.0000  2 Ni 2.13
Co 0.5000 0.0000 0.0000  2 Ni 2.13
Co 0.0000 0.0000 0.5000  2 Ni 2.13

Computed properties:
The calculation puts the total energy at -25.2 eV per cell. The calculation puts the formation energy at 5.1 eV/f.u. The density of states at the Fermi level comes out at 7.96 states/eV/f.u. The calculation puts the magnetic moment at 6.41 μB per cell. Its space group is Pm-3m.

=====

No. 3
Here is Te6Pt2Rh after structural relaxation from Alexandria. Energies are from PBE-GGA.

Lattice parameters (Å, degrees): 4.0994 6.3194 11.8865 117.05 90.00 108.93
Closest atoms and distances in Å follow each position.
Element x y z (fractional)
Te 0.3376 0.6752 0.3954  2 Rh 2.68, 1 Pt 2.70
Pt 0.3348 0.6697 0.1671  6 Te 2.70-2.72
Te 0.6624 0.3248 0.6046  2 Rh 2.68, 1 Pt 2.70
Te 0.9976 0.9953 0.7227  1 Rh 2.66, 2 Pt 2.72
Rh 0.0000 0.0000 0.5000  6 Te 2.66-2.68
Te 0.0024 0.0047 0.2773  1 Rh 2.66, 2 Pt 2.72
Pt 0.6652 0.3303 0.8329  6 Te 2.70-2.72
Te 0.6678 0.3356 0.0616  3 Pt 2.70-2.71
Te 0.3322 0.6644 0.9384  3 Pt 2.70-2.71

Computed properties:
The calculation puts the total energy at -41.7 eV per cell. The density of states at the Fermi level comes out at 2.03 states/eV/f.u. The calculation puts the magnetic moment at 0.00 μB per cell. Its space group is C2/m. The distance to the lowest polymorph of the same formula comes out at 0.00 eV/f.u. The uncorrected formation energy comes out at -0.385 eV per atom.

=====

No. 4
Here is Zn2CuP after structural relaxation from Alexandria. Energies are from PBE-GGA.

Lattice parameters (Å, degrees): 5.9297 4.6273 2.8564 90.16 60.93 119.39
Closest atoms and distances in Å follow each position.
Element x y z (fractional)
Zn 0.5000 0.0000 0.5000  4 Zn 2.59-2.86, 4 P 2.72, 4 Cu 2.72
Zn 0.0000 0.0000 0.0000  4 Zn 2.59-2.86, 4 Cu 2.72, 4 P 2.72
P 0.5000 0.5000 0.0000  2 Cu 2.59, 8 Zn 2.72, 2 P 2.86
Cu 0.0000 0.5000 0.5000  2 P 2.59, 8 Zn 2.72, 2 Cu 2.86

Computed properties:
The calculation puts the total energy at -11.5 eV per cell. The calculation puts the formation energy at 0.5 eV/f.u. The density of states at the Fermi level comes out at 1.06 states/eV/f.u. The calculation puts the magnetic moment at 0.00 μB per cell. Its space group is C2/m.

=====

No. 5
Here is Ce2YSc after structural relaxation from Alexandria. Energies are from PBE-GGA.

Lattice parameters (Å, degrees): 5.0099 4.7822 4.7822 90.00 90.00 90.00
Closest atoms and distances in Å follow each position.
Element x y z (fractional)
Sc 0.5000 0.5000 0.5000  4 Y 3.38, 8 Ce 3.46
Ce 0.0000 0.0000 0.5000  4 Ce 3.38, 4 Sc 3.46, 4 Y 3.46
Ce 0.0000 0.5000 0.0000  4 Ce 3.38, 4 Sc 3.46, 4 Y 3.46
Y 0.5000 0.0000 0.0000  4 Sc 3.38, 8 Ce 3.46

Computed properties:
The calculation puts the total energy at -24.2 eV per cell. The calculation puts the formation energy at 0.5 eV/f.u. The density of states at the Fermi level comes out at 10.68 states/eV/f.u. The calculation puts the magnetic moment at 1.51 μB per cell. Its space group is P4/mmm. The distance to the lowest polymorph of the same formula comes out at 0.07 eV/f.u.

=====

No. 6
Here is Cs2NpCoSe4 after structural relaxation from Alexandria. Energies are from PBE-GGA.

Lattice parameters (Å, degrees): 6.3593 8.1934 13.6521 84.81 76.53 67.17
Closest atoms and distances in Å follow each position.
Element x y z (fractional)
Se 0.1837 0.3050 0.3989  1 Co 2.41, 1 Np 2.70
Se 0.5663 0.1950 0.1011  1 Co 2.41, 1 Np 2.70
Cs 0.5717 0.5000 0.8566  8 Se 3.79-4.15
Se 0.4174 0.6950 0.3989  1 Co 2.41, 1 Np 2.70
Se 0.8876 0.6950 0.6011  1 Co 2.41, 1 Np 2.70
Se 0.2387 0.1950 0.8989  1 Co 2.41, 1 Np 2.70
Cs 0.8217 0.0000 0.3566  8 Se 3.79-4.15
Cs 0.9283 0.5000 0.1434  8 Se 3.79-4.15
Co 0.2500 0.5000 0.5000  4 Se 2.41
Se 0.8624 0.8050 0.8989  1 Co 2.41, 1 Np 2.70
Se 0.5113 0.3050 0.6011  1 Co 2.41, 1 Np 2.70
Np 0.7500 0.5000 0.5000  4 Se 2.70
Np 0.0000 0.0000 0.0000  4 Se 2.70
Co 0.5000 0.0000 0.0000  4 Se 2.41
Cs 0.1783 0.0000 0.6434  8 Se 3.79-4.15
Se 0.3326 0.8050 0.1011  1 Co 2.41, 1 Np 2.70

Computed properties:
The calculation puts the total energy at -83.9 eV per cell. The density of states at the Fermi level comes out at 6.11 states/eV/f.u. The calculation puts the magnetic moment at 12.07 μB per cell. Its space group is Fddd. The uncorrected formation energy comes out at -0.781 eV per atom.

=====

No. 7
Here is Ba2NiCBr after structural relaxation from Alexandria. Energies are from PBE-GGA.

Lattice parameters (Å, degrees): 5.8984 5.8984 3.6983 90.00 90.00 90.00
Closest atoms and distances in Å follow each position.
Element x y z (fractional)
Ba 0.5000 0.0000 0.0000  2 C 2.95
Ni 0.0000 0.0000 0.5000  2 C 1.85
C 0.0000 0.0000 0.0000  2 Ni 1.85
Br 0.5000 0.5000 0.5000  8 Ba 3.48, 2 Br 3.70
Ba 0.0000 0.5000 0.0000  2 C 2.95

Computed properties:
The calculation puts the total energy at -23.2 eV per cell. The density of states at the Fermi level comes out at 2.33 states/eV/f.u. The calculation puts the magnetic moment at 0.00 μB per cell. Its space group is P4/mmm. The uncorrected formation energy comes out at -0.536 eV per atom.

=====

No. 8
Here is BaBeAs2 after structural relaxation from Alexandria. Energies are from PBE-GGA.

Lattice parameters (Å, degrees): 5.1551 5.1551 6.6444 57.64 57.64 44.03
Closest atoms and distances in Å follow each position.
Element x y z (fractional)
As 0.5832 0.5832 0.3598  2 Be 2.34
Ba 0.7500 0.7500 0.7500  6 As 3.33-3.39
Be 0.2500 0.2500 0.2500  4 As 2.34
As 0.9168 0.9168 0.1402  2 Be 2.34

Computed properties:
The calculation puts the total energy at -16.2 eV per cell. The calculation puts the formation energy at -1.2 eV/f.u. The density of states at the Fermi level comes out at 1.80 states/eV/f.u. The calculation puts the magnetic moment at 0.00 μB per cell. Its space group is C2/m.

=====

No. 9
Here is ZrBe3Rh after structural relaxation from Alexandria. Energies are from PBE-GGA.

Lattice parameters (Å, degrees): 4.3885 4.3885 4.3885 90.00 90.00 90.00
Closest atoms and distances in Å follow each position.
Element x y z (fractional)
Be 0.5000 0.0000 0.0000  2 Zr 2.19
Rh 0.5000 0.5000 0.5000  12 Be 3.10
Be 0.0000 0.5000 0.0000  2 Zr 2.19
Zr 0.0000 0.0000 0.0000  6 Be 2.19
Be 0.0000 0.0000 0.5000  2 Zr 2.19

Computed properties:
The calculation puts the total energy at -17.7 eV per cell. The calculation puts the formation energy at 9.4 eV/f.u. The density of states at the Fermi level comes out at 4.26 states/eV/f.u. The calculation puts the magnetic moment at 0.00 μB per cell. Its space group is Pm-3m. The distance to the lowest polymorph of the same formula comes out at 9.80 eV/f.u.